Entry 1:
DFT (meta-GGA SCAN) results for a PBEsol-optimized structure of ErGeAu.

Unit cell a=4.3941 b=4.3941 c=7.0914 alpha=90.00 beta=90.00 gamma=120.00
Last column: nearest neighbours and their distance in Å.
Positions (direct):
1 Ge 0.3333 0.6667 0.2929  3 Au 2.61
2 Ge 0.6667 0.3333 0.7929  3 Au 2.61
3 Au 0.3333 0.6667 0.7059  3 Ge 2.61
4 Au 0.6667 0.3333 0.2059  3 Ge 2.61
5 Er 0.0000 0.0000 0.0005  3 Au 2.93, 3 Ge 2.93
6 Er 0.0000 0.0000 0.5005  3 Au 2.93, 3 Ge 2.93

***

Entry 2:
DFT (meta-GGA SCAN) results for a PBEsol-optimized structure of ScMnZn2Ge.

Unit cell a=4.5904 b=4.5904 c=5.0153 alpha=90.00 beta=90.00 gamma=90.00
Last column: nearest neighbours and their distance in Å.
Positions (direct):
1 Sc 0.0000 0.0000 0.5000  2 Ge 2.51
2 Ge 0.0000 0.0000 0.0000  4 Zn 2.30, 2 Sc 2.51
3 Mn 0.5000 0.5000 0.5000  4 Sc 3.25, 8 Zn 3.40
4 Zn 0.0000 0.5000 0.0000  2 Ge 2.30
5 Zn 0.5000 0.0000 0.0000  2 Ge 2.30

***

Entry 3:
DFT (meta-GGA SCAN) results for a PBEsol-optimized structure of Ce3Ge4Rh4.

Unit cell a=3.8730 b=4.2651 c=12.7460 alpha=99.63 beta=98.74 gamma=90.00
Last column: nearest neighbours and their distance in Å.
Positions (direct):
1 Ge 0.9508 0.9508 0.9016  2 Rh 2.43, 1 Ge 2.44
2 Ge 0.0492 0.0492 0.0984  2 Rh 2.43, 1 Ge 2.44
3 Ge 0.8053 0.3053 0.6105  5 Rh 2.41-2.50
4 Ge 0.1947 0.6947 0.3895  5 Rh 2.41-2.50
5 Rh 0.9039 0.4039 0.8079  3 Ge 2.43-2.45
6 Rh 0.7528 0.7528 0.5057  4 Ge 2.41-2.50
7 Rh 0.2472 0.2472 0.4943  4 Ge 2.41-2.50
8 Rh 0.0961 0.5961 0.1921  3 Ge 2.43-2.45
9 Ce 0.3550 0.8550 0.7101  6 Ge 3.07-3.13, 8 Rh 3.13-3.42
10 Ce 0.6450 0.1450 0.2899  6 Ge 3.07-3.13, 8 Rh 3.13-3.42
11 Ce 0.5000 0.5000 0.0000  4 Rh 3.07, 8 Ge 3.13

***

| no. | formation enthalpy at 0 K (eV per formula unit) | DOS at the Fermi energy (states/eV/f.u.) | magnetic moment (μB per atom) |
| --- | --- | --- | --- |
| 1 | -3.15 | 0.3 | 0.0000 |
| 2 | 1.73 | 1.8 | 0.9747 |
| 3 | -11.24 | 7.4 | 0.1280 |